A relaxed structure of LiPaPt2, computed with GGA-PBEsol.

Unit cell a=6.6167 b=6.6167 c=6.6167 alpha=90.00 beta=90.00 gamma=90.00
Closest atoms and distances in Å follow each position.
Space group Fm-3m (No. 225)
Asymmetric unit:
1 Li 0.0000 0.0000 0.0000 (multiplicity 4)  8 Pt 2.87
2 Pa 0.0000 0.0000 0.5000 (multiplicity 4)  8 Pt 2.87
3 Pt 0.2500 0.2500 0.2500 (multiplicity 8)  4 Pa 2.87, 4 Li 2.87

Values from the calculation:
Its total energy is -7.2549 eV/atom. The calculation puts the formation energy at -0.724 eV per atom.


A relaxed structure of ZrNiIr, computed with GGA-PBEsol.

Unit cell a=5.8399 b=5.8399 c=5.8399 alpha=90.00 beta=90.00 gamma=90.00
Closest atoms and distances in Å follow each position.
Space group F-43m (No. 216)
Asymmetric unit:
1 Zr 0.0000 0.0000 0.0000 (multiplicity 4)  4 Ni 2.53
2 Ni 0.2500 0.2500 0.2500 (multiplicity 4)  4 Zr 2.53, 4 Ir 2.53
3 Ir 0.0000 0.0000 0.5000 (multiplicity 4)  4 Ni 2.53

Values from the calculation:
Its total energy is -8.5954 eV/atom. The calculation puts the formation energy at -0.238 eV per atom.


A relaxed structure of InH2Ru, computed with GGA-PBEsol.

Unit cell a=4.0006 b=4.0006 c=10.4468 alpha=90.00 beta=90.00 gamma=90.00
Closest atoms and distances in Å follow each position.
Space group I-42d (No. 122)
Asymmetric unit:
1 In 0.0000 0.0000 0.0000 (multiplicity 4)  4 H 2.27
2 H 0.1096 0.2500 0.6250 (multiplicity 8)  2 Ru 1.70
3 Ru 0.0000 0.0000 0.5000 (multiplicity 4)  4 H 1.70

Values from the calculation:
Its total energy is -4.7414 eV/atom.


A relaxed structure of Be2ZnP, computed with GGA-PBEsol.

Unit cell a=3.1260 b=3.1260 c=4.7057 alpha=90.00 beta=90.00 gamma=90.00
Closest atoms and distances in Å follow each position.
Space group P4/mmm (No. 123)
Asymmetric unit:
1 Be 0.0000 0.0000 0.2299 (multiplicity 2)  1 Be 2.16
2 Zn 0.5000 0.5000 0.5000 (multiplicity 1)  2 P 2.35, 8 Be 2.55
3 P 0.5000 0.5000 0.0000 (multiplicity 1)  2 Zn 2.35, 8 Be 2.46

Values from the calculation:
Its total energy is -3.5646 eV/atom. The calculation puts the formation energy at 0.279 eV per atom.


A relaxed structure of BaY2F8, computed with GGA-PBEsol.

Unit cell a=5.3402 b=5.3402 c=13.4204 alpha=90.00 beta=90.00 gamma=90.00
Closest atoms and distances in Å follow each position.
Space group I-4 (No. 82)
Asymmetric unit:
1 Ba 0.0000 0.0000 0.0000 (multiplicity 2)  4 F 2.51
2 Y 0.0000 0.0000 0.3106 (multiplicity 4)  6 F 2.08-2.23
3 F 0.2016 0.2089 0.4144 (multiplicity 8)  1 Y 2.08
4 F 0.2042 0.7924 0.8088 (multiplicity 8)  2 Y 2.22-2.23

Values from the calculation:
The formation energy from raw total energies comes out at -4014 meV/atom. Its total energy is -6.8517 eV/atom. The value obtained for the offset from the most stable computed form is 1.26 eV per formula unit.


A relaxed structure of LuB4Ru4, computed with GGA-PBEsol.

Unit cell a=7.3667 b=7.3667 c=14.8588 alpha=90.00 beta=90.00 gamma=90.00
Closest atoms and distances in Å follow each position.
Space group I4_1/acd (No. 142, origin choice 2)
Asymmetric unit:
1 Lu 0.0000 0.2500 0.1250 (multiplicity 8)  12 Ru 2.87-3.18, 12 B 2.91-3.17
2 B 0.1393 0.0818 0.2937 (multiplicity 32)  1 B 1.77
3 Ru 0.1155 0.1003 0.4368 (multiplicity 32)  5 B 2.11-2.26

Values from the calculation:
Its total energy is -8.7057 eV/atom. The calculation puts the formation energy at -0.525 eV per atom.


A relaxed structure of ZnIrOF2, computed with GGA-PBEsol.

Unit cell a=4.3451 b=4.3451 c=3.6726 alpha=90.00 beta=90.00 gamma=90.00
Closest atoms and distances in Å follow each position.
Space group P4/mmm (No. 123)
Asymmetric unit:
1 Zn 0.0000 0.0000 0.0000 (multiplicity 1)  8 F 2.84, 4 O 3.07
2 Ir 0.5000 0.5000 0.5000 (multiplicity 1)  2 O 1.84
3 O 0.5000 0.5000 0.0000 (multiplicity 1)  2 Ir 1.84
4 F 0.0000 0.5000 0.5000 (multiplicity 2)  2 Ir 2.17

Values from the calculation:
The formation energy from raw total energies comes out at -523 meV/atom. Its total energy is -4.6250 eV/atom.


A relaxed structure of KBaSi2Se, computed with GGA-PBEsol.

Unit cell a=5.2380 b=5.2380 c=5.8458 alpha=90.00 beta=90.00 gamma=90.00
Closest atoms and distances in Å follow each position.
Space group P4/mmm (No. 123)
Asymmetric unit:
1 K 0.0000 0.0000 0.0000 (multiplicity 1)  4 Ba 3.70, 8 Si 3.92
2 Ba 0.5000 0.5000 0.0000 (multiplicity 1)  2 Se 2.92
3 Si 0.0000 0.5000 0.5000 (multiplicity 2)  2 Se 2.62
4 Se 0.5000 0.5000 0.5000 (multiplicity 1)  4 Si 2.62, 2 Ba 2.92

Values from the calculation:
The formation energy from raw total energies comes out at 186 meV/atom. Its total energy is -3.5389 eV/atom.


Q: The highest total energy belongs to which entry?
A: KBaSi2Se


What did the fifth record say?
A relaxed structure of BaY2F8, computed with GGA-PBEsol.

Unit cell a=5.3402 b=5.3402 c=13.4204 alpha=90.00 beta=90.00 gamma=90.00
Closest atoms and distances in Å follow each position.
Space group I-4 (No. 82)
Asymmetric unit:
1 Ba 0.0000 0.0000 0.0000 (multiplicity 2)  4 F 2.51
2 Y 0.0000 0.0000 0.3106 (multiplicity 4)  6 F 2.08-2.23
3 F 0.2016 0.2089 0.4144 (multiplicity 8)  1 Y 2.08
4 F 0.2042 0.7924 0.8088 (multiplicity 8)  2 Y 2.22-2.23

Values from the calculation:
The formation energy from raw total energies comes out at -4014 meV/atom. Its total energy is -6.8517 eV/atom. The value obtained for the offset from the most stable computed form is 1.26 eV per formula unit.